1.
Entry from the Alexandria database: a relaxed TaSi2P crystal (PBE-GGA).

Cell and atoms, written as POSCAR:
```
TaSi2P
1.0
4.759 -1.666 0.000
4.759 1.666 0.000
-0.036 0.000 3.881
Ta Si P
1 2 1
direct
0.000 0.000 0.000
0.266 0.266 0.760
0.734 0.734 0.240
0.500 0.500 0.500
```

D(E_F)	2.2	states/eV/f.u.
final energy	-7.00	eV/atom
magnetization	0.000	μB/atom
space-group type	C2/m
formation energy (no corrections)	0.029	eV/atom

***

2.
Entry from the Alexandria database: a relaxed TaSiP2W crystal (PBE-GGA).

Cell and atoms, written as POSCAR:
```
TaSiP2W
1.0
4.316 0.000 0.000
0.000 4.316 0.000
0.000 0.000 4.738
Ta Si P W
1 1 2 1
direct
0.000 0.000 0.000
0.000 0.000 0.500
0.000 0.500 0.500
0.500 0.000 0.500
0.500 0.500 0.000
```

D(E_F)	4.3	states/eV/f.u.
final energy	-6.81	eV/atom
magnetization	0.000	μB/atom
space-group type	P4/mmm
formation energy (no corrections)	1.402	eV/atom

***

3.
Entry from the Alexandria database: a relaxed TbSiP crystal (PBE-GGA).

Cell and atoms, written as POSCAR:
```
TbSiP
1.0
-1.928 1.928 9.338
1.928 -1.928 9.338
1.928 1.928 -9.338
Tb Si P
2 2 2
direct
0.152 0.152 0.000
0.848 0.848 0.000
0.429 0.429 0.000
0.571 0.571 0.000
0.307 0.307 0.000
0.693 0.693 0.000
```

D(E_F)	1.0	states/eV/f.u.
final energy	-5.64	eV/atom
magnetization	0.000	μB/atom
space-group type	I4/mmm
formation energy (no corrections)	-0.486	eV/atom

***

Repeat the second record exactly.
Entry from the Alexandria database: a relaxed TaSiP2W crystal (PBE-GGA).

Cell and atoms, written as POSCAR:
```
TaSiP2W
1.0
4.316 0.000 0.000
0.000 4.316 0.000
0.000 0.000 4.738
Ta Si P W
1 1 2 1
direct
0.000 0.000 0.000
0.000 0.000 0.500
0.000 0.500 0.500
0.500 0.000 0.500
0.500 0.500 0.000
```

D(E_F)	4.3	states/eV/f.u.
final energy	-6.81	eV/atom
magnetization	0.000	μB/atom
space-group type	P4/mmm
formation energy (no corrections)	1.402	eV/atom

***

> Which of these has the lowest final energy?

TaSi2P

***

> Look up the formation energy (no corrections) of the first one.

0.029 eV/atom